1.
Computed, not measured: an optimized crystal structure of La2BeW at the PBE level of DFT.

The density of states at the Fermi level comes out at 4.069 states/eV per cell. The value obtained for the total energy is -23.9 eV per cell. As for the total magnetization: 0.0 Bohr magnetons per cell. The formation energy is 0.646 eV per atom.

abc: 3.1915 3.8217 7.7528
angles: 90.00 90.00 90.00
Atoms (fractional coordinates):
La: 0.0000 0.0000 0.2468
La: 0.0000 0.0000 0.7532
Be: 0.5000 0.5000 0.0000
W: 0.5000 0.5000 0.5000

***

2.
Computed, not measured: an optimized crystal structure of MgFeRu at the PBE level of DFT.

The density of states at the Fermi level comes out at 4.824 states/eV per cell. The value obtained for the total energy is -37.5 eV per cell. As for the total magnetization: 0.0 Bohr magnetons per cell. The formation energy is 0.191 eV per atom.

abc: 6.0430 5.0262 4.6822
angles: 76.90 54.10 48.99
Atoms (fractional coordinates):
Mg: 0.1610 0.8390 0.1610
Mg: 0.8390 0.1610 0.8390
Fe: 0.2500 0.2500 0.2500
Fe: 0.7500 0.7500 0.7500
Ru: 0.3611 0.3611 0.6389
Ru: 0.6389 0.6389 0.3611

***

3.
Computed, not measured: an optimized crystal structure of CsNd2CuS4 at the PBE level of DFT.

The value obtained for the total energy is -87.9 eV per cell. For the formation energy without anion corrections, the calculation gives -1.621 eV per atom. As for the total magnetization: 0.0 Bohr magnetons per cell.

abc: 7.5192 7.5192 14.1585
angles: 90.00 90.00 148.18
Atoms (fractional coordinates):
Cs: 0.1042 0.8958 0.7500
Cs: 0.8958 0.1042 0.2500
Nd: 0.3657 0.6343 0.5604
Nd: 0.3657 0.6343 0.9396
Nd: 0.6343 0.3657 0.0604
Nd: 0.6343 0.3657 0.4396
Cu: 0.1672 0.8328 0.2500
Cu: 0.8328 0.1672 0.7500
S: 0.0000 0.0000 0.0000
S: 0.0000 0.0000 0.5000
S: 0.2565 0.7435 0.1098
S: 0.2565 0.7435 0.3902
S: 0.4171 0.5829 0.7500
S: 0.5829 0.4171 0.2500
S: 0.7435 0.2565 0.6098
S: 0.7435 0.2565 0.8902

***

4.
Computed, not measured: an optimized crystal structure of Na7Tl4Cd at the PBE level of DFT.

The density of states at the Fermi level comes out at 5.029 states/eV per cell. The value obtained for the total energy is -20.1 eV per cell. As for the total magnetization: 0.0 Bohr magnetons per cell. The formation energy is -0.039 eV per atom.

abc: 8.1891 8.1891 9.3756
angles: 116.13 116.13 41.44
Atoms (fractional coordinates):
Na: 0.0000 0.0000 0.0000
Na: 0.2740 0.2740 0.7532
Na: 0.3138 0.3138 0.1389
Na: 0.4216 0.4216 0.5785
Na: 0.5784 0.5784 0.4215
Na: 0.6862 0.6862 0.8611
Na: 0.7260 0.7260 0.2468
Tl: 0.0548 0.0548 0.6946
Tl: 0.1758 0.1758 0.3736
Tl: 0.8242 0.8242 0.6264
Tl: 0.9452 0.9452 0.3054
Cd: 0.5000 0.5000 0.0000

***

5.
Computed, not measured: an optimized crystal structure of MgTaGa2S at the PBE level of DFT.

The density of states at the Fermi level comes out at 4.950 states/eV per cell. The value obtained for the total energy is -18.4 eV per cell. For the formation energy without anion corrections, the calculation gives 1.054 eV per atom. As for the total magnetization: 1.8 Bohr magnetons per cell.

abc: 4.9639 4.9639 4.4883
angles: 90.00 90.00 90.00
Atoms (fractional coordinates):
Mg: 0.0000 0.0000 0.0000
Ta: 0.5000 0.5000 0.5000
Ga: 0.0000 0.5000 0.0000
Ga: 0.5000 0.0000 0.0000
S: 0.0000 0.0000 0.5000

***

6.
Computed, not measured: an optimized crystal structure of HfNiOs2 at the PBE level of DFT.

The density of states at the Fermi level comes out at 12.993 states/eV per cell. The value obtained for the total energy is -147.8 eV per cell. As for the total magnetization: 0.0 Bohr magnetons per cell. The formation energy is 0.311 eV per atom.

abc: 3.8538 3.8538 18.0929
angles: 90.00 90.00 90.00
Atoms (fractional coordinates):
Hf: 0.0000 0.0000 0.0000
Hf: 0.0000 0.5000 0.2500
Hf: 0.5000 0.0000 0.7500
Hf: 0.5000 0.5000 0.5000
Ni: 0.0000 0.0000 0.5000
Ni: 0.0000 0.5000 0.7500
Ni: 0.5000 0.0000 0.2500
Ni: 0.5000 0.5000 0.0000
Os: 0.1910 0.2500 0.6250
Os: 0.2500 0.6910 0.8750
Os: 0.2500 0.8090 0.3750
Os: 0.3090 0.2500 0.1250
Os: 0.6910 0.7500 0.1250
Os: 0.7500 0.1910 0.3750
Os: 0.7500 0.3090 0.8750
Os: 0.8090 0.7500 0.6250

***

7.
Computed, not measured: an optimized crystal structure of NpAl2O6 at the PBE level of DFT.

The density of states at the Fermi level comes out at 2.104 states/eV per cell. The value obtained for the total energy is -151.2 eV per cell. For the formation energy without anion corrections, the calculation gives -2.824 eV per atom. As for the total magnetization: 2.0 Bohr magnetons per cell.

abc: 4.6477 4.6477 9.0318
angles: 90.00 90.00 90.00
Atoms (fractional coordinates):
Np: 0.0000 0.0000 0.0000
Np: 0.5000 0.5000 0.5000
Al: 0.0000 0.0000 0.3354
Al: 0.0000 0.0000 0.6646
Al: 0.5000 0.5000 0.1646
Al: 0.5000 0.5000 0.8354
O: 0.1812 0.1812 0.5000
O: 0.2000 0.2000 0.1766
O: 0.2000 0.2000 0.8234
O: 0.3000 0.7000 0.3234
O: 0.3000 0.7000 0.6766
O: 0.3188 0.6812 0.0000
O: 0.6812 0.3188 0.0000
O: 0.7000 0.3000 0.3234
O: 0.7000 0.3000 0.6766
O: 0.8000 0.8000 0.1766
O: 0.8000 0.8000 0.8234
O: 0.8188 0.8188 0.5000

***

8.
Computed, not measured: an optimized crystal structure of Li15Ag4Pd at the PBE level of DFT.

The density of states at the Fermi level comes out at 4.386 states/eV per cell. The value obtained for the total energy is -48.6 eV per cell. As for the total magnetization: 0.0 Bohr magnetons per cell. The formation energy is -0.166 eV per atom.

abc: 4.0645 4.0645 19.8532
angles: 90.00 90.00 90.00
Atoms (fractional coordinates):
Li: 0.0000 0.0000 0.0000
Li: 0.0000 0.0000 0.1951
Li: 0.0000 0.0000 0.3979
Li: 0.0000 0.0000 0.6021
Li: 0.0000 0.0000 0.8049
Li: 0.0000 0.5000 0.0918
Li: 0.0000 0.5000 0.2959
Li: 0.0000 0.5000 0.5000
Li: 0.0000 0.5000 0.7041
Li: 0.0000 0.5000 0.9082
Li: 0.5000 0.0000 0.0918
Li: 0.5000 0.0000 0.2959
Li: 0.5000 0.0000 0.5000
Li: 0.5000 0.0000 0.7041
Li: 0.5000 0.0000 0.9082
Ag: 0.5000 0.5000 0.1934
Ag: 0.5000 0.5000 0.3983
Ag: 0.5000 0.5000 0.6017
Ag: 0.5000 0.5000 0.8066
Pd: 0.5000 0.5000 0.0000

***

9.
Computed, not measured: an optimized crystal structure of Sr3LiPb3 at the PBE level of DFT.

The density of states at the Fermi level comes out at 5.128 states/eV per cell. The value obtained for the total energy is -43.4 eV per cell. As for the total magnetization: 0.0 Bohr magnetons per cell. The formation energy is -0.519 eV per atom.

abc: 6.6100 6.6100 16.4604
angles: 108.25 108.25 44.67
Atoms (fractional coordinates):
Sr: 0.0369 0.0369 0.3871
Sr: 0.0950 0.0950 0.9181
Sr: 0.2414 0.2414 0.2281
Sr: 0.7586 0.7586 0.7719
Sr: 0.9050 0.9050 0.0819
Sr: 0.9631 0.9631 0.6129
Li: 0.2579 0.2579 0.5958
Li: 0.7421 0.7421 0.4042
Pb: 0.3661 0.3661 0.4503
Pb: 0.3823 0.3823 0.9247
Pb: 0.4635 0.4635 0.7614
Pb: 0.5365 0.5365 0.2386
Pb: 0.6177 0.6177 0.0753
Pb: 0.6339 0.6339 0.5497

***

10.
Computed, not measured: an optimized crystal structure of PmGeHRh at the PBE level of DFT.

The density of states at the Fermi level comes out at 3.156 states/eV per cell. The value obtained for the total energy is -46.9 eV per cell. As for the total magnetization: 0.0 Bohr magnetons per cell.

abc: 4.1184 4.1184 7.5779
angles: 90.00 90.00 90.00
Atoms (fractional coordinates):
Pm: 0.2500 0.2500 0.1602
Pm: 0.7500 0.7500 0.8398
Ge: 0.2500 0.2500 0.6833
Ge: 0.7500 0.7500 0.3167
H: 0.2500 0.7500 0.0000
H: 0.7500 0.2500 0.0000
Rh: 0.2500 0.7500 0.5000
Rh: 0.7500 0.2500 0.5000

***

11.
Computed, not measured: an optimized crystal structure of SmTm2Pb at the PBE level of DFT.

The density of states at the Fermi level comes out at 20.454 states/eV per cell. The value obtained for the total energy is -73.3 eV per cell. As for the total magnetization: 0.0 Bohr magnetons per cell. The formation energy is -0.236 eV per atom.

abc: 4.3034 12.5505 9.2553
angles: 90.00 90.00 90.00
Atoms (fractional coordinates):
Sm: 0.0000 0.0553 0.2500
Sm: 0.0000 0.9447 0.7500
Sm: 0.5000 0.4447 0.7500
Sm: 0.5000 0.5553 0.2500
Tm: 0.0000 0.3679 0.0539
Tm: 0.0000 0.3679 0.4461
Tm: 0.0000 0.6321 0.5539
Tm: 0.0000 0.6321 0.9461
Tm: 0.5000 0.1321 0.5539
Tm: 0.5000 0.1321 0.9461
Tm: 0.5000 0.8679 0.0539
Tm: 0.5000 0.8679 0.4461
Pb: 0.0000 0.2451 0.7500
Pb: 0.0000 0.7549 0.2500
Pb: 0.5000 0.2549 0.2500
Pb: 0.5000 0.7451 0.7500

***

12.
Computed, not measured: an optimized crystal structure of MgAgF2 at the PBE level of DFT.

The density of states at the Fermi level comes out at 2.813 states/eV per cell. The value obtained for the total energy is -56.6 eV per cell. For the formation energy without anion corrections, the calculation gives -1.489 eV per atom. As for the total magnetization: 0.0 Bohr magnetons per cell.

abc: 6.0388 6.0388 6.0388
angles: 90.00 90.00 90.00
Atoms (fractional coordinates):
Mg: 0.0000 0.0000 0.0000
Mg: 0.0000 0.5000 0.5000
Mg: 0.5000 0.0000 0.5000
Mg: 0.5000 0.5000 0.0000
Ag: 0.0000 0.0000 0.5000
Ag: 0.0000 0.5000 0.0000
Ag: 0.5000 0.0000 0.0000
Ag: 0.5000 0.5000 0.5000
F: 0.2500 0.2500 0.2500
F: 0.2500 0.2500 0.7500
F: 0.2500 0.7500 0.2500
F: 0.2500 0.7500 0.7500
F: 0.7500 0.2500 0.2500
F: 0.7500 0.2500 0.7500
F: 0.7500 0.7500 0.2500
F: 0.7500 0.7500 0.7500